Compound: Ba2HoCoCu2O7
Source: the Alexandria database
Functional: GGA+U
Structure: optimized geometry

a b c (Å): 3.853 3.918 11.839
angles (deg): 90.00 90.00 90.00
Space group Pmmm (No. 47)
Inequivalent atoms, fractional coordinates:
Ba 0.000 0.000 0.184
Ho 0.000 0.000 0.500
Co 0.500 0.500 0.000
Cu 0.500 0.500 0.362
O 0.000 0.500 0.381
O 0.500 0.000 0.000
O 0.500 0.000 0.379
O 0.500 0.500 0.152

## Properties
Uncorrected energy ... -80.81 eV for the cell shown
Spin magnetization ... 2.3 Bohr magnetons per cell



Compound: LiFePO4
Source: the Alexandria database
Functional: GGA+U
Structure: optimized geometry

a b c (Å): 5.887 7.557 9.145
angles (deg): 105.52 99.76 98.34
Space group P-1 (No. 2)
Inequivalent atoms, fractional coordinates:
Li 0.006 0.013 0.252
Li 0.130 0.512 0.892
Fe 0.376 0.494 0.637
Fe 0.499 0.987 0.241
P 0.184 0.748 0.437
P 0.300 0.250 0.061
O 0.062 0.373 0.648
O 0.112 0.366 0.042
O 0.184 0.868 0.603
O 0.255 0.132 0.174
O 0.258 0.873 0.338
O 0.299 0.117 0.899
O 0.361 0.613 0.454
O 0.450 0.622 0.867

## Properties
Uncorrected energy ... -190.24 eV for the cell shown
Spin magnetization ... 16.0 Bohr magnetons per cell



Question: Which value of uncorrected energy does entry 1 give?
Answer: -80.81 eV for the cell shown



Copy entry 2 word for word.
Compound: LiFePO4
Source: the Alexandria database
Functional: GGA+U
Structure: optimized geometry

a b c (Å): 5.887 7.557 9.145
angles (deg): 105.52 99.76 98.34
Space group P-1 (No. 2)
Inequivalent atoms, fractional coordinates:
Li 0.006 0.013 0.252
Li 0.130 0.512 0.892
Fe 0.376 0.494 0.637
Fe 0.499 0.987 0.241
P 0.184 0.748 0.437
P 0.300 0.250 0.061
O 0.062 0.373 0.648
O 0.112 0.366 0.042
O 0.184 0.868 0.603
O 0.255 0.132 0.174
O 0.258 0.873 0.338
O 0.299 0.117 0.899
O 0.361 0.613 0.454
O 0.450 0.622 0.867

## Properties
Uncorrected energy ... -190.24 eV for the cell shown
Spin magnetization ... 16.0 Bohr magnetons per cell



Question: spin magnetization of number 2 (LiFePO4)?
Answer: 16.0 Bohr magnetons per cell



Question: The highest spin magnetization belongs to which entry?
Answer: LiFePO4